VASP calculation (PBE with a Hubbard U) on a geometry-optimized NiO6F2 structure.

Values from the calculation:
E, eV per cell: -38.46
Fermi-level density of states, states/eV/f.u.: 0.0

Cell lengths 3.1229, 6.0401, 6.0727 Å; angles 108.45, 90.60, 90.60 degrees
Closest atoms and distances in Å follow each position.
Atoms (fractional coordinates):
F  0.5000  0.1282  0.8736  2 Ni 2.00
F  0.5000  0.8718  0.1264  2 Ni 2.00
O  0.9078  0.2915  0.5293  2 O 1.37-1.51
O  0.8894  0.6880  0.6880  2 O 1.51
O  0.9074  0.5310  0.2934  2 O 1.37-1.51
O  0.0926  0.4690  0.7066  2 O 1.37-1.51
O  0.1106  0.3120  0.3120  2 O 1.51
O  0.0922  0.7085  0.4707  2 O 1.37-1.51
Ni  0.0000  0.0000  0.0000  4 F 2.00, 2 O 2.23